First-principles (PBE) data for a geometry-optimized LaTcN3 structure, as listed in Alexandria via LeMat-Bulk.

Calculated values
- DOS(E_F) (states/eV per cell) = 7.5
- ΔE_f (raw) (eV per formula unit) = -2.595
- total magnetic moment (μB/f.u.) = 0.0
- E (eV per atom) = -8.573

Cell and atoms, written as POSCAR:
```
LaTcN3
1.0
-7.933 -15.975 3.576
3.865 -2.594 -3.012
4.389 5.583 0.823
La N Tc
4 12 4
direct
0.115 0.250 0.115
0.885 0.750 0.885
0.385 0.750 0.385
0.615 0.250 0.615
0.631 0.750 0.631
0.536 0.906 0.036
0.869 0.250 0.869
0.131 0.750 0.131
0.964 0.406 0.464
0.225 0.966 0.726
0.775 0.034 0.274
0.369 0.250 0.369
0.275 0.466 0.774
0.036 0.594 0.536
0.464 0.094 0.964
0.725 0.534 0.226
0.141 0.270 0.641
0.359 0.770 0.859
0.859 0.730 0.359
0.641 0.230 0.141
```